VASP calculation (PBE) on a geometry-optimized LaDy3In3 structure.

* energy relative to the elements: -0.369 eV per atom
* total moment: 0.0 μB per formula unit
* crystal system: hexagonal

Unit cell a=5.202 b=9.516 c=9.516 alpha=120.00 beta=90.00 gamma=90.00
Positions (direct):
In: 0.750 0.931 0.382
In: 0.750 0.618 0.549
In: 0.250 0.549 0.931
In: 0.250 0.382 0.451
In: 0.250 0.069 0.618
In: 0.750 0.451 0.069
Dy: 0.750 0.998 0.767
Dy: 0.250 0.767 0.769
Dy: 0.750 0.233 0.231
Dy: 0.250 0.002 0.233
Dy: 0.750 0.769 0.002
Dy: 0.250 0.231 0.998
La: 0.750 0.333 0.667
La: 0.250 0.667 0.333

VASP calculation (PBE) on a geometry-optimized LaDyIn2 structure.

* energy relative to the elements: -0.307 eV per atom
* total moment: 0.0 μB per formula unit
* crystal system: trigonal

Unit cell a=3.776 b=3.776 c=10.200 alpha=79.33 beta=79.33 gamma=60.00
Positions (direct):
La: 0.500 0.500 0.500
In: 0.254 0.254 0.239
In: 0.746 0.746 0.761
Dy: 0.000 0.000 0.000

VASP calculation (PBE) on a geometry-optimized La5Dy4In4 structure.

* energy relative to the elements: -0.311 eV per atom
* total moment: 0.0 μB per formula unit
* crystal system: tetragonal

Unit cell a=5.106 b=9.419 c=9.419 alpha=85.79 beta=74.27 gamma=74.27
Positions (direct):
Dy: 0.400 0.694 0.505
Dy: 0.600 0.306 0.495
Dy: 0.094 0.505 0.306
Dy: 0.906 0.495 0.694
La: 0.605 0.699 0.090
La: 0.000 0.000 0.000
La: 0.696 0.910 0.699
La: 0.304 0.090 0.301
La: 0.395 0.301 0.910
In: 0.241 0.666 0.852
In: 0.907 0.852 0.334
In: 0.093 0.148 0.666
In: 0.759 0.334 0.148

VASP calculation (PBE) on a geometry-optimized La3Dy2In3 structure.

* energy relative to the elements: -0.356 eV per atom
* total moment: 0.0 μB per formula unit
* crystal system: hexagonal

Unit cell a=3.405 b=8.988 c=8.988 alpha=120.00 beta=90.00 gamma=90.00
Positions (direct):
In: 0.500 0.000 0.609
In: 0.500 0.609 0.000
In: 0.500 0.391 0.391
La: 0.000 0.000 0.245
La: 0.000 0.755 0.755
La: 0.000 0.245 0.000
Dy: 0.000 0.667 0.333
Dy: 0.000 0.333 0.667

VASP calculation (PBE) on a geometry-optimized La2Dy5In structure.

* energy relative to the elements: -0.091 eV per atom
* total moment: 0.0 μB per formula unit
* crystal system: monoclinic

Unit cell a=7.170 b=8.453 c=7.161 alpha=129.83 beta=120.04 gamma=89.99
Positions (direct):
In: 0.188 0.216 0.376
Dy: 0.784 0.761 0.569
Dy: 0.671 0.226 0.864
Dy: 0.263 0.722 0.022
Dy: 0.193 0.225 0.863
Dy: 0.758 0.722 0.021
La: 0.673 0.222 0.347
La: 0.245 0.683 0.490

VASP calculation (PBE) on a geometry-optimized La2Dy3In4 structure.

* energy relative to the elements: -0.457 eV per atom
* total moment: 0.0 μB per formula unit
* crystal system: monoclinic

Unit cell a=8.114 b=8.449 c=8.465 alpha=90.00 beta=90.00 gamma=108.05
Positions (direct):
Dy: 0.749 0.247 0.829
Dy: 0.249 0.247 0.671
Dy: 0.500 0.500 0.000
Dy: 0.751 0.753 0.329
Dy: 0.000 0.500 0.500
Dy: 0.251 0.753 0.171
In: 0.129 0.506 0.874
In: 0.859 0.080 0.535
In: 0.141 0.920 0.465
In: 0.629 0.506 0.626
In: 0.359 0.080 0.965
In: 0.871 0.494 0.126
In: 0.641 0.920 0.035
In: 0.371 0.494 0.374
La: 0.432 0.810 0.679
La: 0.932 0.810 0.821
La: 0.068 0.190 0.179
La: 0.568 0.190 0.321

VASP calculation (PBE) on a geometry-optimized LaDyIn structure.

* energy relative to the elements: -0.317 eV per atom
* total moment: 1.0 μB per formula unit
* crystal system: monoclinic

Unit cell a=4.825 b=4.823 c=8.409 alpha=90.00 beta=90.22 gamma=90.00
Last column: magnetic moment on the atom in μB.
Positions (direct):
Dy: 0.750 0.750 0.500  0.35
Dy: 0.250 0.250 0.500  0.35
In: 0.252 0.750 0.755  -0.01
In: 0.748 0.250 0.245  -0.01
La: 0.248 0.750 0.149  0.19
La: 0.752 0.250 0.851  0.19

VASP calculation (PBE) on a geometry-optimized LaDy3In4 structure.

* energy relative to the elements: -0.471 eV per atom
* total moment: 0.0 μB per formula unit
* crystal system: orthorhombic

Unit cell a=5.558 b=7.314 c=10.869 alpha=90.00 beta=90.00 gamma=90.00
Positions (direct):
In: 0.500 0.762 0.000
In: 0.500 0.762 0.500
In: 0.500 0.238 0.500
In: 0.913 0.239 0.250
In: 0.913 0.761 0.250
In: 0.087 0.239 0.750
In: 0.500 0.238 0.000
In: 0.087 0.761 0.750
Dy: 0.568 0.500 0.750
Dy: 0.000 0.000 0.500
Dy: 0.000 0.000 0.000
Dy: 0.581 0.000 0.750
Dy: 0.432 0.500 0.250
Dy: 0.419 0.000 0.250
La: 0.000 0.500 0.500
La: 0.000 0.500 0.000

VASP calculation (PBE) on a geometry-optimized LaDy12In6 structure.

* energy relative to the elements: -0.069 eV per atom
* total moment: 0.6 μB per formula unit
* crystal system: trigonal

Unit cell a=8.833 b=8.833 c=8.833 alpha=103.17 beta=103.17 gamma=103.17
Last column: magnetic moment on the atom in μB.
Positions (direct):
La: 0.000 0.000 0.000  0.15
Dy: 0.121 0.879 0.500  0.02
Dy: 0.879 0.500 0.121  0.02
Dy: 0.121 0.500 0.879  0.02
Dy: 0.179 0.446 0.446  0.02
Dy: 0.446 0.446 0.179  0.02
Dy: 0.821 0.554 0.554  0.02
Dy: 0.554 0.554 0.821  0.02
Dy: 0.500 0.879 0.121  0.02
Dy: 0.446 0.179 0.446  0.02
Dy: 0.500 0.121 0.879  0.02
Dy: 0.879 0.121 0.500  0.02
Dy: 0.554 0.821 0.554  0.02
In: 0.757 0.297 0.757  0.00
In: 0.297 0.757 0.757  0.00
In: 0.757 0.757 0.297  0.00
In: 0.243 0.243 0.703  0.00
In: 0.703 0.243 0.243  0.00
In: 0.243 0.703 0.243  0.00

VASP calculation (PBE) on a geometry-optimized La4Dy5In structure.

* energy relative to the elements: 0.052 eV per atom
* total moment: 0.0 μB per formula unit
* crystal system: tetragonal

Unit cell a=5.878 b=8.246 c=8.246 alpha=82.70 beta=69.12 gamma=69.12
Positions (direct):
Dy: 0.667 0.000 0.000
Dy: 0.774 0.000 0.367
Dy: 0.774 0.367 0.000
Dy: 0.141 0.633 0.000
Dy: 0.140 0.000 0.633
In: 0.182 0.000 0.000
La: 0.458 0.307 0.693
La: 0.151 0.307 0.307
La: 0.458 0.693 0.307
La: 0.765 0.693 0.693

VASP calculation (PBE) on a geometry-optimized La2Dy2In structure.

* energy relative to the elements: -0.112 eV per atom
* total moment: 0.0 μB per formula unit
* crystal system: monoclinic

Unit cell a=5.560 b=5.511 c=6.793 alpha=65.10 beta=65.84 gamma=59.70
Positions (direct):
La: 0.817 0.816 0.550
La: 0.183 0.184 0.450
In: 0.000 0.000 0.000
Dy: 0.605 0.607 0.183
Dy: 0.395 0.393 0.817

VASP calculation (PBE) on a geometry-optimized La3DyIn structure.

* energy relative to the elements: 0.094 eV per atom
* total moment: 0.0 μB per formula unit
* crystal system: orthorhombic

Unit cell a=8.935 b=5.896 c=13.044 alpha=90.00 beta=90.00 gamma=90.00
Positions (direct):
La: 0.250 0.122 0.944
La: 0.571 0.857 0.831
La: 0.750 0.378 0.444
La: 0.071 0.143 0.169
La: 0.571 0.357 0.669
La: 0.071 0.643 0.331
La: 0.929 0.857 0.831
La: 0.929 0.357 0.669
La: 0.250 0.622 0.556
La: 0.429 0.143 0.169
La: 0.429 0.643 0.331
La: 0.750 0.878 0.056
Dy: 0.750 0.939 0.315
Dy: 0.750 0.439 0.185
Dy: 0.250 0.061 0.685
Dy: 0.250 0.561 0.815
In: 0.250 0.642 0.080
In: 0.750 0.858 0.580
In: 0.750 0.358 0.920
In: 0.250 0.142 0.420

VASP calculation (PBE) on a geometry-optimized La5DyIn6 structure.

* energy relative to the elements: -0.506 eV per atom
* total moment: 0.0 μB per formula unit
* crystal system: monoclinic

Unit cell a=5.551 b=9.619 c=9.619 alpha=120.22 beta=106.79 gamma=106.79
Positions (direct):
La: 0.000 0.337 0.663
La: 0.500 0.825 0.175
La: 0.500 0.500 0.500
La: 0.000 0.663 0.337
La: 0.500 0.175 0.825
In: 0.271 0.771 0.771
In: 0.239 0.400 0.077
In: 0.761 0.600 0.923
In: 0.729 0.229 0.229
In: 0.239 0.077 0.400
In: 0.761 0.923 0.600
Dy: 0.000 0.000 0.000

VASP calculation (PBE) on a geometry-optimized LaDy7In4 structure.

* energy relative to the elements: -0.108 eV per atom
* total moment: 0.0 μB per formula unit
* crystal system: monoclinic

Unit cell a=5.675 b=9.339 c=7.770 alpha=75.88 beta=68.58 gamma=72.31
Positions (direct):
In: 0.438 0.762 0.362
In: 0.562 0.238 0.638
In: 0.318 0.332 0.031
In: 0.682 0.668 0.969
Dy: 0.789 0.876 0.546
Dy: 0.063 0.604 0.269
Dy: 0.500 0.000 0.000
Dy: 0.937 0.396 0.731
Dy: 0.714 0.348 0.224
Dy: 0.211 0.124 0.454
Dy: 0.286 0.652 0.776
La: 0.000 0.000 0.000

VASP calculation (PBE) on a geometry-optimized LaDy5In4 structure.

* energy relative to the elements: -0.378 eV per atom
* total moment: 0.0 μB per formula unit
* crystal system: tetragonal

Unit cell a=3.556 b=3.556 c=22.161 alpha=90.00 beta=90.00 gamma=90.00
Positions (direct):
In: 0.000 0.000 0.595
In: 0.000 0.000 0.214
In: 0.000 0.000 0.405
In: 0.000 0.000 0.786
Dy: 0.500 0.500 0.500
Dy: 0.500 0.500 0.310
Dy: 0.500 0.500 0.879
Dy: 0.500 0.500 0.121
Dy: 0.500 0.500 0.690
La: 0.000 0.000 0.000

VASP calculation (PBE) on a geometry-optimized LaDyIn3 structure.

* energy relative to the elements: 0.075 eV per atom
* total moment: 0.0 μB per formula unit
* crystal system: orthorhombic

Unit cell a=5.316 b=8.535 c=8.535 alpha=117.87 beta=90.00 gamma=90.00
Positions (direct):
In: 0.500 0.000 0.000
In: 0.250 0.534 0.142
In: 0.750 0.142 0.534
In: 0.250 0.858 0.466
In: 0.750 0.466 0.858
In: 0.000 0.000 0.000
La: 0.250 0.416 0.584
La: 0.750 0.584 0.416
Dy: 0.750 0.807 0.193
Dy: 0.250 0.193 0.807

VASP calculation (PBE) on a geometry-optimized La3Dy3In2 structure.

* energy relative to the elements: -0.193 eV per atom
* total moment: 1.4 μB per formula unit
* crystal system: trigonal

Unit cell a=6.299 b=6.299 c=6.299 alpha=90.25 beta=90.25 gamma=89.75
Last column: magnetic moment on the atom in μB.
Positions (direct):
La: 0.244 0.756 0.500  0.12
La: 0.756 0.500 0.756  0.12
La: 0.500 0.244 0.244  0.12
Dy: 0.000 0.242 0.242  0.21
Dy: 0.758 0.000 0.758  0.21
Dy: 0.242 0.758 0.000  0.21
In: 0.751 0.751 0.249  0.00
In: 0.249 0.249 0.751  0.00

VASP calculation (PBE) on a geometry-optimized La5DyIn2 structure.

* energy relative to the elements: -0.195 eV per atom
* total moment: 0.0 μB per formula unit
* crystal system: orthorhombic

Unit cell a=3.841 b=7.979 c=16.558 alpha=90.00 beta=90.00 gamma=90.00
Positions (direct):
In: 0.500 0.269 0.120
In: 0.500 0.731 0.880
In: 0.500 0.231 0.620
In: 0.500 0.769 0.380
La: 0.000 0.500 0.500
La: 0.500 0.275 0.371
La: 0.500 0.775 0.129
La: 0.000 0.986 0.752
La: 0.500 0.225 0.871
La: 0.000 0.014 0.248
La: 0.000 0.486 0.748
La: 0.500 0.725 0.629
La: 0.000 0.514 0.252
La: 0.000 0.000 0.000
Dy: 0.000 0.000 0.500
Dy: 0.000 0.500 0.000

VASP calculation (PBE) on a geometry-optimized La12DyIn6 structure.

* energy relative to the elements: -0.272 eV per atom
* total moment: 0.0 μB per formula unit
* crystal system: trigonal

Unit cell a=8.469 b=8.469 c=8.469 alpha=89.53 beta=89.53 gamma=89.53
Positions (direct):
La: 0.944 0.849 0.611
La: 0.183 0.473 0.563
La: 0.151 0.389 0.056
La: 0.527 0.437 0.817
La: 0.817 0.527 0.437
La: 0.473 0.563 0.183
La: 0.389 0.056 0.151
La: 0.437 0.817 0.527
La: 0.611 0.944 0.849
La: 0.849 0.611 0.944
La: 0.056 0.151 0.389
La: 0.563 0.183 0.473
In: 0.736 0.880 0.251
In: 0.251 0.736 0.880
In: 0.749 0.264 0.120
In: 0.264 0.120 0.749
In: 0.880 0.251 0.736
In: 0.120 0.749 0.264
Dy: 0.000 0.000 0.000

VASP calculation (PBE) on a geometry-optimized La2Dy4In structure.

* energy relative to the elements: -0.024 eV per atom
* total moment: 0.0 μB per formula unit
* crystal system: monoclinic

Unit cell a=12.041 b=6.463 c=6.817 alpha=120.96 beta=90.00 gamma=90.00
Positions (direct):
La: 0.482 0.853 0.682
La: 0.518 0.147 0.318
La: 0.018 0.353 0.682
La: 0.982 0.647 0.318
In: 0.000 0.000 0.000
In: 0.500 0.500 0.000
Dy: 0.801 0.170 0.341
Dy: 0.226 0.836 0.149
Dy: 0.199 0.830 0.659
Dy: 0.699 0.670 0.341
Dy: 0.726 0.664 0.851
Dy: 0.774 0.164 0.851
Dy: 0.301 0.330 0.659
Dy: 0.274 0.336 0.149